No. 1
Here is a relaxed K2LaCo crystal from the Alexandria database. Energies are from PBE.

The calculated density is 2.70 Mg/m³. The formation enthalpy at 0 K comes out at 0.423 eV per atom. As for the magnetic moment: 0.00 μB per cell. The electronic total energy comes out at -25.1 eV/cell. For the energy above the most stable polymorph in this dataset, the calculation gives 0.159 eV/atom.

The structure belongs to space group Imm2 (No. 44); the cell edges are 3.764, 6.665 and 13.526 Å and the angles 90.00°, 90.00° and 90.00°. Symmetry generates all atoms from K at (0.000, 0.000, 0.000), K at (0.000, 0.500, 0.162), La at (0.000, 0.500, 0.838) and Co at (0.000, 0.000, 0.448).

=====

No. 2
Here is a relaxed KLa2Co crystal from the Alexandria database. Energies are from PBE.

The calculated density is 4.45 Mg/m³. The formation enthalpy at 0 K comes out at 0.104 eV per atom. As for the magnetic moment: 0.00 μB per cell. The electronic total energy comes out at -17.6 eV/cell. For the energy above the most stable polymorph in this dataset, the calculation gives 0.134 eV/atom.

The structure belongs to space group P2/m (No. 10); the cell edges are 3.603, 3.600 and 10.826 Å and the angles 90.00°, 93.44° and 90.00°. Symmetry generates all atoms from K at (0.000, 0.000, 0.000), La at (0.438, 0.500, 0.648) and Co at (0.000, 0.000, 0.500).

=====

No. 3
Here is a relaxed KLaMg2Co crystal from the Alexandria database. Energies are from PBE.

The calculated density is 3.31 Mg/m³. The formation enthalpy at 0 K comes out at 0.046 eV per atom. As for the magnetic moment: 0.00 μB per cell. The electronic total energy comes out at -16.1 eV/cell.

The structure belongs to space group P4/mmm (No. 123); the cell edges are 5.341, 5.341 and 5.017 Å and the angles 90.00°, 90.00° and 90.00°. Symmetry generates all atoms from K at (0.000, 0.000, 0.000), La at (0.500, 0.500, 0.000), Mg at (0.000, 0.500, 0.500) and Co at (0.500, 0.500, 0.500).

=====

No. 4
Here is a relaxed KLaCoMo2 crystal from the Alexandria database. Energies are from PBE.

The calculated density is 6.17 Mg/m³. The formation enthalpy at 0 K comes out at 1.168 eV per atom. As for the magnetic moment: 0.00 μB per cell. The electronic total energy comes out at -29.0 eV/cell.

The structure belongs to space group P4/mmm (No. 123); the cell edges are 4.613, 4.613 and 5.426 Å and the angles 90.00°, 90.00° and 90.00°. Symmetry generates all atoms from K at (0.000, 0.000, 0.000), La at (0.500, 0.500, 0.000), Co at (0.000, 0.000, 0.500) and Mo at (0.000, 0.500, 0.500).

=====

No. 5
Here is a relaxed KLaCo2Ni crystal from the Alexandria database. Energies are from PBE.

The calculated density is 5.19 Mg/m³. The formation enthalpy at 0 K comes out at 0.701 eV per atom. As for the magnetic moment: 3.32 μB per cell. The electronic total energy comes out at -22.5 eV/cell.

The structure belongs to space group P4/mmm (No. 123); the cell edges are 4.765, 4.765 and 4.995 Å and the angles 90.00°, 90.00° and 90.00°. Symmetry generates all atoms from K at (0.000, 0.000, 0.000), La at (0.500, 0.500, 0.000), Co at (0.000, 0.500, 0.500) and Ni at (0.500, 0.500, 0.500).